#a
Below is an optimized crystal structure of Na2LiPd, with properties calculated at the PBE level.

Summary:
spin magnetization	0.00	μB per formula unit

Lattice parameters (Å, degrees): 6.9587 6.9587 6.9587 90.00 90.00 90.00
Last column: nearest neighbours and their distance in Å.
Atoms (fractional coordinates):
Na: 0.2500 0.2500 0.2500  4 Li 3.01, 4 Pd 3.01
Na: 0.2500 0.2500 0.7500  4 Pd 3.01, 4 Li 3.01
Na: 0.2500 0.7500 0.2500  4 Pd 3.01, 4 Li 3.01
Na: 0.2500 0.7500 0.7500  4 Li 3.01, 4 Pd 3.01
Na: 0.7500 0.2500 0.2500  4 Pd 3.01, 4 Li 3.01
Na: 0.7500 0.2500 0.7500  4 Li 3.01, 4 Pd 3.01
Na: 0.7500 0.7500 0.2500  4 Li 3.01, 4 Pd 3.01
Na: 0.7500 0.7500 0.7500  4 Pd 3.01, 4 Li 3.01
Li: 0.0000 0.0000 0.0000  8 Na 3.01
Li: 0.0000 0.5000 0.5000  8 Na 3.01
Li: 0.5000 0.0000 0.5000  8 Na 3.01
Li: 0.5000 0.5000 0.0000  8 Na 3.01
Pd: 0.0000 0.0000 0.5000  8 Na 3.01
Pd: 0.0000 0.5000 0.0000  8 Na 3.01
Pd: 0.5000 0.0000 0.0000  8 Na 3.01
Pd: 0.5000 0.5000 0.5000  8 Na 3.01


#b
Below is an optimized crystal structure of Na2LiPd, with properties calculated at the PBE level.

Summary:
spin magnetization	0.00	μB per formula unit

Lattice parameters (Å, degrees): 3.0106 3.0106 33.3434 90.00 90.00 120.00
Last column: nearest neighbours and their distance in Å.
Atoms (fractional coordinates):
Na: 0.0000 0.0000 0.0808  1 Pd 2.69, 6 Na 3.01
Na: 0.0000 0.0000 0.9192  1 Pd 2.69, 6 Na 3.01
Na: 0.3333 0.6667 0.5859  1 Pd 2.69, 6 Na 3.01
Na: 0.3333 0.6667 0.7474  1 Pd 2.69, 6 Na 3.01
Na: 0.6667 0.3333 0.2526  1 Pd 2.69, 6 Na 3.01
Na: 0.6667 0.3333 0.4141  1 Pd 2.69, 6 Na 3.01
Li: 0.0000 0.0000 0.5000  6 Li 3.01, 6 Na 3.35
Li: 0.3333 0.6667 0.1667  6 Li 3.01, 6 Na 3.35
Li: 0.6667 0.3333 0.8333  6 Li 3.01, 6 Na 3.35
Pd: 0.0000 0.0000 0.0000  2 Na 2.69, 6 Pd 3.01
Pd: 0.3333 0.6667 0.6667  2 Na 2.69, 6 Pd 3.01
Pd: 0.6667 0.3333 0.3333  2 Na 2.69, 6 Pd 3.01


Ranked by calculated energy, most stable first: #a, #b.


#a
Below is an optimized crystal structure of NaSr2LiPd, with properties calculated at the PBE level.

Summary:
spin magnetization	0.00	μB per formula unit

Lattice parameters (Å, degrees): 5.9279 5.9279 5.5638 90.00 90.00 90.00
Last column: nearest neighbours and their distance in Å.
Atoms (fractional coordinates):
Na: 0.0000 0.0000 0.0000  2 Pd 2.78
Sr: 0.0000 0.5000 0.5000  2 Pd 2.96
Sr: 0.5000 0.0000 0.5000  2 Pd 2.96
Li: 0.5000 0.5000 0.0000  8 Sr 4.06, 4 Na 4.19
Pd: 0.0000 0.0000 0.5000  2 Na 2.78, 4 Sr 2.96


#b
Below is an optimized crystal structure of NaSr2LiPd, with properties calculated at the PBE level.

Summary:
spin magnetization	0.00	μB per formula unit

Lattice parameters (Å, degrees): 5.9885 5.9885 5.0899 90.00 90.00 90.00
Last column: nearest neighbours and their distance in Å.
Atoms (fractional coordinates):
Na: 0.0000 0.0000 0.0000  8 Sr 3.93, 4 Li 4.23
Sr: 0.0000 0.5000 0.5000  2 Pd 2.99
Sr: 0.5000 0.0000 0.5000  2 Pd 2.99
Li: 0.5000 0.5000 0.0000  2 Pd 2.54
Pd: 0.5000 0.5000 0.5000  2 Li 2.54


Ranked by calculated energy, most stable first: #b, #a.


#a
Below is an optimized crystal structure of NaLiTlPd, with properties calculated at the PBE level.

Summary:
spin magnetization	0.00	μB per formula unit

Lattice parameters (Å, degrees): 9.2001 4.4230 4.2898 90.00 117.70 90.00
Last column: nearest neighbours and their distance in Å.
Atoms (fractional coordinates):
Na: 0.0000 0.0000 0.0000  4 Li 2.96-3.00, 4 Tl 2.98, 4 Pd 3.08
Na: 0.5000 0.5000 0.0000  4 Li 2.96-3.00, 4 Tl 2.98, 4 Pd 3.08
Li: 0.2519 0.0000 0.7523  4 Pd 2.90-3.06, 4 Na 2.96-3.00, 4 Tl 3.08
Li: 0.7519 0.5000 0.7523  4 Pd 2.90-3.06, 4 Na 2.96-3.00, 4 Tl 3.08
Tl: 0.2456 0.5000 0.2461  4 Pd 2.97-2.99, 4 Na 2.98, 4 Li 3.08
Tl: 0.7456 0.0000 0.2461  4 Pd 2.97-2.99, 4 Na 2.98, 4 Li 3.08
Pd: 0.4923 0.0000 0.4925  4 Li 2.90-3.06, 4 Tl 2.97-2.99, 4 Na 3.08
Pd: 0.9923 0.5000 0.4925  4 Li 2.90-3.06, 4 Tl 2.97-2.99, 4 Na 3.08


#b
Below is an optimized crystal structure of NaLiTlPd, with properties calculated at the PBE level.

Summary:
spin magnetization	0.00	μB per formula unit

Lattice parameters (Å, degrees): 6.7565 6.7565 6.7565 90.00 90.00 90.00
Last column: nearest neighbours and their distance in Å.
Atoms (fractional coordinates):
Na: 0.0000 0.0000 0.0000  4 Pd 2.93, 4 Li 2.93
Na: 0.0000 0.5000 0.5000  4 Pd 2.93, 4 Li 2.93
Na: 0.5000 0.0000 0.5000  4 Pd 2.93, 4 Li 2.93
Na: 0.5000 0.5000 0.0000  4 Pd 2.93, 4 Li 2.93
Li: 0.2500 0.2500 0.7500  4 Tl 2.93, 4 Na 2.93
Li: 0.2500 0.7500 0.2500  4 Tl 2.93, 4 Na 2.93
Li: 0.7500 0.2500 0.2500  4 Tl 2.93, 4 Na 2.93
Li: 0.7500 0.7500 0.7500  4 Tl 2.93, 4 Na 2.93
Tl: 0.0000 0.0000 0.5000  4 Li 2.93, 4 Pd 2.93
Tl: 0.0000 0.5000 0.0000  4 Li 2.93, 4 Pd 2.93
Tl: 0.5000 0.0000 0.0000  4 Li 2.93, 4 Pd 2.93
Tl: 0.5000 0.5000 0.5000  4 Li 2.93, 4 Pd 2.93
Pd: 0.2500 0.2500 0.2500  4 Tl 2.93, 4 Na 2.93
Pd: 0.2500 0.7500 0.7500  4 Tl 2.93, 4 Na 2.93
Pd: 0.7500 0.2500 0.7500  4 Tl 2.93, 4 Na 2.93
Pd: 0.7500 0.7500 0.2500  4 Tl 2.93, 4 Na 2.93


Ranked by calculated energy, most stable first: #b, #a.


#a
Below is an optimized crystal structure of NaLi2Pm, with properties calculated at the PBE level.

Summary:
spin magnetization	0.00	μB per formula unit

Lattice parameters (Å, degrees): 3.4339 3.4339 33.8017 90.00 90.00 120.00
Last column: nearest neighbours and their distance in Å.
Atoms (fractional coordinates):
Na: 0.0000 0.0000 0.0000  6 Na 3.43, 6 Li 3.46
Na: 0.3333 0.6667 0.6667  6 Na 3.43, 6 Li 3.46
Na: 0.6667 0.3333 0.3333  6 Na 3.43, 6 Li 3.46
Li: 0.0000 0.0000 0.4174  3 Pm 3.43, 6 Li 3.43, 3 Na 3.46
Li: 0.0000 0.0000 0.5829  3 Pm 3.43, 6 Li 3.43, 3 Na 3.46
Li: 0.3333 0.6667 0.0840  3 Pm 3.43, 6 Li 3.43, 3 Na 3.46
Li: 0.3333 0.6667 0.2496  3 Pm 3.43, 6 Li 3.43, 3 Na 3.46
Li: 0.6667 0.3333 0.7507  3 Pm 3.43, 6 Li 3.43, 3 Na 3.46
Li: 0.6667 0.3333 0.9162  3 Pm 3.43, 6 Li 3.43, 3 Na 3.46
Pm: 0.0000 0.0000 0.1669  6 Li 3.43, 6 Pm 3.43
Pm: 0.3333 0.6667 0.8336  6 Li 3.43, 6 Pm 3.43
Pm: 0.6667 0.3333 0.5002  6 Li 3.43, 6 Pm 3.43


#b
Below is an optimized crystal structure of NaLi2Pm, with properties calculated at the PBE level.

Summary:
spin magnetization	0.00	μB per formula unit

Lattice parameters (Å, degrees): 3.3386 3.3386 36.1508 90.00 90.00 120.00
Last column: nearest neighbours and their distance in Å.
Atoms (fractional coordinates):
Na: 0.0000 0.0000 0.0000  6 Na 3.34, 6 Li 3.49
Na: 0.3333 0.6667 0.6667  6 Na 3.34, 6 Li 3.49
Na: 0.6667 0.3333 0.3333  6 Na 3.34, 6 Li 3.49
Li: 0.0000 0.0000 0.4138  1 Pm 3.12, 6 Li 3.34, 3 Na 3.49
Li: 0.0000 0.0000 0.5862  1 Pm 3.12, 6 Li 3.34, 3 Na 3.49
Li: 0.3333 0.6667 0.0804  1 Pm 3.12, 6 Li 3.34, 3 Na 3.49
Li: 0.3333 0.6667 0.2529  1 Pm 3.12, 6 Li 3.34, 3 Na 3.49
Li: 0.6667 0.3333 0.7471  1 Pm 3.12, 6 Li 3.34, 3 Na 3.49
Li: 0.6667 0.3333 0.9196  1 Pm 3.12, 6 Li 3.34, 3 Na 3.49
Pm: 0.0000 0.0000 0.5000  2 Li 3.12, 6 Pm 3.34
Pm: 0.3333 0.6667 0.1667  2 Li 3.12, 6 Pm 3.34
Pm: 0.6667 0.3333 0.8333  2 Li 3.12, 6 Pm 3.34


Ranked by calculated energy, most stable first: #a, #b.


#a
Below is an optimized crystal structure of NaLiPr, with properties calculated at the PBE level.

Summary:
spin magnetization	0.00	μB per formula unit

Lattice parameters (Å, degrees): 3.7059 3.7059 13.5173 90.00 90.00 90.00
Last column: nearest neighbours and their distance in Å.
Atoms (fractional coordinates):
Na: 0.2500 0.2500 0.0977  4 Li 3.29
Na: 0.7500 0.7500 0.9023  4 Li 3.29
Li: 0.2500 0.2500 0.7547  4 Na 3.29, 4 Pr 3.42
Li: 0.7500 0.7500 0.2453  4 Na 3.29, 4 Pr 3.42
Pr: 0.2500 0.2500 0.4084  4 Li 3.42, 8 Pr 3.60-3.71
Pr: 0.7500 0.7500 0.5916  4 Li 3.42, 8 Pr 3.60-3.71


#b
Below is an optimized crystal structure of NaLiPr, with properties calculated at the PBE level.

Summary:
spin magnetization	0.00	μB per formula unit

Lattice parameters (Å, degrees): 3.5141 3.5141 8.8115 90.00 90.00 120.00
Last column: nearest neighbours and their distance in Å.
Atoms (fractional coordinates):
Na: 0.0000 0.0000 0.0000  3 Li 3.51, 6 Na 3.51, 3 Pr 3.78
Li: 0.3333 0.6667 0.6755  3 Pr 3.43, 3 Na 3.51, 6 Li 3.51
Pr: 0.6667 0.3333 0.3619  3 Li 3.43, 6 Pr 3.51, 3 Na 3.78


#c
Below is an optimized crystal structure of NaLiPr, with properties calculated at the PBE level.

Summary:
spin magnetization	0.00	μB per formula unit

Lattice parameters (Å, degrees): 3.3947 3.3947 16.3096 90.00 90.00 90.00
Last column: nearest neighbours and their distance in Å.
Atoms (fractional coordinates):
Na: 0.0000 0.0000 0.0000  4 Na 3.39, 4 Li 3.51
Na: 0.5000 0.5000 0.5000  4 Na 3.39, 4 Li 3.51
Li: 0.0000 0.0000 0.3427  4 Li 3.39, 4 Pr 3.50, 4 Na 3.51
Li: 0.5000 0.5000 0.8427  4 Li 3.39, 4 Pr 3.50, 4 Na 3.51
Pr: 0.0000 0.0000 0.6866  4 Pr 3.39, 4 Li 3.50
Pr: 0.5000 0.5000 0.1866  4 Pr 3.39, 4 Li 3.50


Ranked by calculated energy, most stable first: #a, #b, #c.


#a
Below is an optimized crystal structure of NaLi2Pt2, with properties calculated at the PBE level.

Summary:
spin magnetization	0.00	μB per formula unit

Lattice parameters (Å, degrees): 4.4711 4.4711 9.2908 90.00 90.00 90.00
Last column: nearest neighbours and their distance in Å.
Atoms (fractional coordinates):
Na: 0.0000 0.0000 0.0000  8 Li 3.22, 10 Pt 3.38-3.41
Na: 0.5000 0.5000 0.5000  8 Li 3.22, 10 Pt 3.38-3.41
Li: 0.0000 0.5000 0.2500  4 Pt 2.47
Li: 0.0000 0.5000 0.7500  4 Pt 2.47
Li: 0.5000 0.0000 0.2500  4 Pt 2.47
Li: 0.5000 0.0000 0.7500  4 Pt 2.47
Pt: 0.0000 0.0000 0.3636  4 Li 2.47, 1 Pt 2.54
Pt: 0.0000 0.0000 0.6364  4 Li 2.47, 1 Pt 2.54
Pt: 0.5000 0.5000 0.1364  4 Li 2.47, 1 Pt 2.54
Pt: 0.5000 0.5000 0.8636  4 Li 2.47, 1 Pt 2.54


#b
Below is an optimized crystal structure of NaLi2Pt2, with properties calculated at the PBE level.

Summary:
spin magnetization	0.00	μB per formula unit

Lattice parameters (Å, degrees): 7.7580 7.7580 2.6718 90.00 90.00 90.00
Last column: nearest neighbours and their distance in Å.
Atoms (fractional coordinates):
Na: 0.0000 0.0000 0.0000  2 Na 2.67
Na: 0.5000 0.5000 0.0000  2 Na 2.67
Li: 0.1228 0.3772 0.0000  6 Pt 2.63-2.67, 3 Li 2.67-2.69
Li: 0.3772 0.8772 0.0000  6 Pt 2.63-2.67, 3 Li 2.67-2.69
Li: 0.6228 0.1228 0.0000  6 Pt 2.63-2.67, 3 Li 2.67-2.69
Li: 0.8772 0.6228 0.0000  6 Pt 2.63-2.67, 3 Li 2.67-2.69
Pt: 0.1707 0.6707 0.5000  6 Li 2.63-2.67, 2 Pt 2.67
Pt: 0.3293 0.1707 0.5000  6 Li 2.63-2.67, 2 Pt 2.67
Pt: 0.6707 0.8293 0.5000  6 Li 2.63-2.67, 2 Pt 2.67
Pt: 0.8293 0.3293 0.5000  6 Li 2.63-2.67, 2 Pt 2.67


Ranked by calculated energy, most stable first: #b, #a.